Entry 1:
Entry from Alexandria via LeMat-Bulk: Zr2TaBrO after structural relaxation (PBE).

Cell: 5.1435 5.1435 4.8881 Å, 90.00 90.00 90.00°
Sites, in units of the cell vectors:
Zr: 0.0000 0.5000 0.0000
Zr: 0.5000 0.0000 0.0000
Ta: 0.0000 0.0000 0.0000
Br: 0.0000 0.0000 0.5000
O: 0.5000 0.5000 0.5000

Its total magnetization is 0.0 μB/f.u.

Entry 2:
Entry from Alexandria via LeMat-Bulk: TbBrO after structural relaxation (PBE).

Cell: 3.7327 3.7327 5.7134 Å, 90.00 90.00 120.00°
Sites, in units of the cell vectors:
Tb: 0.0000 0.0000 0.0000
Br: 0.3333 0.6667 0.6410
O: 0.6667 0.3333 0.0933

Its total magnetization is 0.0 μB/f.u.

Entry 3:
Entry from Alexandria via LeMat-Bulk: Tb2Br3O after structural relaxation (PBE).

Cell: 9.5380 9.5380 11.5559 Å, 124.78 124.78 23.99°
Sites, in units of the cell vectors:
Tb: 0.0692 0.0692 0.4593
Tb: 0.3676 0.3676 0.2215
Tb: 0.6324 0.6324 0.7785
Tb: 0.9308 0.9308 0.5407
Br: 0.1715 0.1715 0.0091
Br: 0.2876 0.2876 0.3814
Br: 0.4685 0.4685 0.7591
Br: 0.5315 0.5315 0.2409
Br: 0.7124 0.7124 0.6186
Br: 0.8285 0.8285 0.9909
O: 0.0809 0.0809 0.6667
O: 0.9191 0.9191 0.3333

Its total magnetization is 0.0 μB/f.u.

Entry 4:
Entry from Alexandria via LeMat-Bulk: Tb2Br2O after structural relaxation (PBE).

Cell: 4.1636 4.1636 13.7236 Å, 90.00 90.00 90.00°
Sites, in units of the cell vectors:
Tb: 0.0000 0.0000 0.1506
Tb: 0.0000 0.0000 0.8494
Br: 0.0000 0.0000 0.3422
Br: 0.0000 0.0000 0.6578
O: 0.0000 0.0000 0.0000

Its total magnetization is 0.0 μB/f.u. The calculation puts the energy above the lowest structure with this stoichiometry at 1.060 eV per atom.

Entry 5:
Entry from Alexandria via LeMat-Bulk: Tb2Br2O after structural relaxation (PBE).

Cell: 10.8678 10.8678 6.8467 Å, 95.42 95.42 20.66°
Sites, in units of the cell vectors:
Tb: 0.1819 0.1819 0.3822
Tb: 0.3155 0.3155 0.0903
Tb: 0.6845 0.6845 0.9097
Tb: 0.8181 0.8181 0.6178
Br: 0.0970 0.0970 0.6940
Br: 0.4097 0.4097 0.7985
Br: 0.5903 0.5903 0.2015
Br: 0.9030 0.9030 0.3060
O: 0.2096 0.2096 0.0735
O: 0.7904 0.7904 0.9265

Its total magnetization is 1.0 μB/f.u. The calculation puts the energy above the lowest structure with this stoichiometry at 0.000 eV per atom.

Entry 6:
Entry from Alexandria via LeMat-Bulk: TbBrO after structural relaxation (PBE).

Cell: 5.2647 5.2647 5.2647 Å, 113.51 104.59 110.44°
Sites, in units of the cell vectors:
Tb: 0.0000 0.0000 0.0000
Tb: 0.5000 0.0000 0.5000
Br: 0.3796 0.6296 0.7500
Br: 0.6204 0.3704 0.2500
O: 0.0000 0.0000 0.5000
O: 0.0000 0.5000 0.0000

Its total magnetization is 0.0 μB/f.u.

Number 1: volume 25.863 Å³ per atom, formation energy (no corrections) 1.07 eV/atom. Number 2: volume 22.980 Å³ per atom, formation energy (no corrections) -2.73 eV/atom. Number 3: volume 28.935 Å³ per atom, formation energy (no corrections) -2.30 eV/atom. Number 4: volume 47.580 Å³ per atom, formation energy (no corrections) -1.16 eV/atom. Number 5: volume 28.398 Å³ per atom, formation energy (no corrections) -2.22 eV/atom. Number 6: volume 18.606 Å³ per atom, formation energy (no corrections) -1.72 eV/atom.